--- P ---
## Pm2LuPd (PBE-GGA)

Data for Pm2LuPd after structural relaxation.

Lattice parameters (Å, degrees): 11.3587 11.3587 11.3587 17.45 17.45 17.45
With the nearest neighbours (Å) after each atom.
Element x y z (fractional)
Pm  0.0800  0.0800  0.0800  1 Pd 2.69
Pm  0.9200  0.9200  0.9200  1 Pd 2.69
Lu  0.5000  0.5000  0.5000  6 Lu 3.45, 6 Pm 3.52
Pd  0.0000  0.0000  0.0000  2 Pm 2.69

Results
total magnetization = 0.000 μB/f.u.

***

--- Q ---
## Pm2LuPd (PBE-GGA)

Data for Pm2LuPd after structural relaxation.

Lattice parameters (Å, degrees): 3.6856 3.6856 8.1919 90.00 90.00 90.00
With the nearest neighbours (Å) after each atom.
Element x y z (fractional)
Pm  0.0000  0.0000  0.2082  4 Pd 3.11, 1 Pm 3.41
Pm  0.0000  0.0000  0.7918  4 Pd 3.11, 1 Pm 3.41
Lu  0.5000  0.5000  0.5000  8 Pm 3.54, 4 Lu 3.69
Pd  0.5000  0.5000  0.0000  8 Pm 3.11

Results
total magnetization = 0.000 μB/f.u.

***

Energetically preferred structure: Q | next structure: +40.5 kJ/mol of atoms

***

--- P ---
## PrLuPd (PBE-GGA)

Data for PrLuPd after structural relaxation.

Lattice parameters (Å, degrees): 4.7528 4.7528 4.0462 90.00 90.00 120.00
With the nearest neighbours (Å) after each atom.
Element x y z (fractional)
Pr  0.0000  0.0000  0.0000  3 Pd 3.16, 6 Lu 3.37-3.45
Lu  0.3333  0.6667  0.5160  3 Pd 2.79
Pd  0.6667  0.3333  0.3861  3 Lu 2.79

Results
total magnetization = 0.000 μB/f.u.

***

--- Q ---
## PrLuPd (PBE-GGA)

Data for PrLuPd after structural relaxation.

Lattice parameters (Å, degrees): 4.9452 4.9452 4.9452 60.00 60.00 60.00
With the nearest neighbours (Å) after each atom.
Element x y z (fractional)
Pr  0.0000  0.0000  0.0000  4 Pd 3.03
Lu  0.5000  0.5000  0.5000  4 Pd 3.03
Pd  0.7500  0.7500  0.7500  4 Pr 3.03, 4 Lu 3.03

Results
total magnetization = 0.001 μB/f.u.

***

Energetically preferred structure: Q | next structure: +2.9 kJ/mol of atoms

***

--- P ---
## LuPd2Pt (PBE-GGA)

Data for LuPd2Pt after structural relaxation.

Lattice parameters (Å, degrees): 4.6157 4.6157 4.6157 60.00 60.00 60.00
With the nearest neighbours (Å) after each atom.
Element x y z (fractional)
Lu  0.0000  0.0000  0.0000  8 Pd 2.83
Pd  0.2500  0.2500  0.2500  4 Pt 2.83, 4 Lu 2.83
Pd  0.7500  0.7500  0.7500  4 Pt 2.83, 4 Lu 2.83
Pt  0.5000  0.5000  0.5000  8 Pd 2.83

Results
total magnetization = 0.000 μB/f.u.

***

--- Q ---
## LuPd2Pt (PBE-GGA)

Data for LuPd2Pt after structural relaxation.

Lattice parameters (Å, degrees): 4.0831 4.0831 4.0631 90.00 90.00 90.00
With the nearest neighbours (Å) after each atom.
Element x y z (fractional)
Lu  0.0000  0.0000  0.0000  8 Pd 2.88, 4 Pt 2.89
Pd  0.0000  0.5000  0.5000  4 Pt 2.88, 4 Lu 2.88, 4 Pd 2.89
Pd  0.5000  0.0000  0.5000  4 Pt 2.88, 4 Lu 2.88, 4 Pd 2.89
Pt  0.5000  0.5000  0.0000  8 Pd 2.88, 4 Lu 2.89

Results
total magnetization = 0.000 μB/f.u.

***

Energetically preferred structure: Q | next structure: +17.7 kJ/mol of atoms

***

--- P ---
## TbLuPd (PBE-GGA)

Data for TbLuPd after structural relaxation.

Lattice parameters (Å, degrees): 6.5298 6.5298 6.5298 148.76 148.76 44.76
With the nearest neighbours (Å) after each atom.
Element x y z (fractional)
Tb  0.0000  0.0000  0.0000  4 Pd 3.07, 1 Lu 3.35
Lu  0.2776  0.2776  0.0000  4 Pd 2.93
Pd  0.6495  0.6495  0.0000  4 Lu 2.93, 4 Tb 3.07

Results
total magnetization = 0.000 μB/f.u.

***

--- Q ---
## TbLuPd (PBE-GGA)

Data for TbLuPd after structural relaxation.

Lattice parameters (Å, degrees): 4.7522 4.7522 3.7645 90.00 90.00 120.00
With the nearest neighbours (Å) after each atom.
Element x y z (fractional)
Tb  0.0000  0.0000  0.0000  3 Pd 3.00, 3 Lu 3.27
Lu  0.3333  0.6667  0.5267  3 Pd 2.85
Pd  0.6667  0.3333  0.3196  3 Lu 2.85, 3 Tb 3.00

Results
total magnetization = 0.000 μB/f.u.

***

Energetically preferred structure: P | next structure: +15.2 kJ/mol of atoms

***

--- P ---
## TbLu2Pd (PBE-GGA)

Data for TbLu2Pd after structural relaxation.

Lattice parameters (Å, degrees): 3.5066 3.5066 8.3204 90.00 90.00 90.00
With the nearest neighbours (Å) after each atom.
Element x y z (fractional)
Tb  0.0000  0.0000  0.0000  4 Tb 3.51, 8 Lu 3.53
Lu  0.5000  0.5000  0.3022  4 Pd 2.98, 1 Lu 3.29
Lu  0.5000  0.5000  0.6978  4 Pd 2.98, 1 Lu 3.29
Pd  0.0000  0.0000  0.5000  8 Lu 2.98

Results
total magnetization = 0.002 μB/f.u.

***

--- Q ---
## TbLu2Pd (PBE-GGA)

Data for TbLu2Pd after structural relaxation.

Lattice parameters (Å, degrees): 9.8718 9.8718 9.8718 20.96 20.96 20.96
With the nearest neighbours (Å) after each atom.
Element x y z (fractional)
Tb  0.0000  0.0000  0.0000  6 Lu 3.58, 6 Tb 3.59
Lu  0.2327  0.2327  0.2327  3 Pd 2.82
Lu  0.7673  0.7673  0.7673  3 Pd 2.82
Pd  0.5000  0.5000  0.5000  6 Lu 2.82

Results
total magnetization = 0.000 μB/f.u.

***

Energetically preferred structure: P | next structure: +13.6 kJ/mol of atoms

***

--- P ---
## LuThPd (PBE-GGA)

Data for LuThPd after structural relaxation.

Lattice parameters (Å, degrees): 4.8159 4.8159 3.8486 90.00 90.00 120.00
With the nearest neighbours (Å) after each atom.
Element x y z (fractional)
Lu  0.0000  0.0000  0.0000  3 Pd 2.85
Th  0.6667  0.3333  0.5188  3 Pd 3.10, 6 Lu 3.34-3.42
Pd  0.3333  0.6667  0.1649  3 Lu 2.85, 3 Th 3.10

Results
total magnetization = 0.000 μB/f.u.

***

--- Q ---
## LuThPd (PBE-GGA)

Data for LuThPd after structural relaxation.

Lattice parameters (Å, degrees): 6.4418 6.4418 6.4418 147.73 147.73 46.29
With the nearest neighbours (Å) after each atom.
Element x y z (fractional)
Lu  0.0000  0.0000  0.0000  4 Pd 3.00
Th  0.7095  0.7095  0.0000  4 Pd 3.12, 1 Lu 3.44
Pd  0.3640  0.3640  0.0000  4 Lu 3.00, 4 Th 3.12

Results
total magnetization = 0.000 μB/f.u.

***

Energetically preferred structure: Q | next structure: +16.6 kJ/mol of atoms

***

--- P ---
## LuTh2Pd (PBE-GGA)

Data for LuTh2Pd after structural relaxation.

Lattice parameters (Å, degrees): 3.6565 3.6565 8.2887 90.00 90.00 90.00
With the nearest neighbours (Å) after each atom.
Element x y z (fractional)
Lu  0.0000  0.0000  0.0000  8 Th 3.51, 4 Lu 3.66
Th  0.5000  0.5000  0.2869  4 Pd 3.13
Th  0.5000  0.5000  0.7131  4 Pd 3.13
Pd  0.0000  0.0000  0.5000  8 Th 3.13

Results
total magnetization = 0.000 μB/f.u.

***

--- Q ---
## LuTh2Pd (PBE-GGA)

Data for LuTh2Pd after structural relaxation.

Lattice parameters (Å, degrees): 11.3130 11.3130 11.3130 17.49 17.49 17.49
With the nearest neighbours (Å) after each atom.
Element x y z (fractional)
Lu  0.0000  0.0000  0.0000  2 Th 3.28, 6 Lu 3.44
Th  0.0982  0.0982  0.0982  3 Pd 3.03, 1 Lu 3.28
Th  0.9018  0.9018  0.9018  3 Pd 3.03, 1 Lu 3.28
Pd  0.5000  0.5000  0.5000  6 Th 3.03

Results
total magnetization = 0.000 μB/f.u.

***

Energetically preferred structure: P | next structure: +29.4 kJ/mol of atoms